PrPuPb6: optimized geometry, GGA-PBE.

Electronic total energy (eV/atom): -5.329
ΔH_f (0 K) (eV/atom): -0.16
Crystal system: tetragonal

Unit cell a=5.6790 b=5.6790 c=7.5426 alpha=90.00 beta=90.00 gamma=90.00
Last column: nearest neighbours and their distance in Å.
Space group P4/mmm (No. 123)
Asymmetric unit:
Pr 0.0000 0.0000 0.0000 x1  8 Pb 3.43, 2 Pu 3.77
Pu 0.0000 0.0000 0.5000 x1  8 Pb 3.39, 2 Pr 3.77
Pb 0.0000 0.5000 0.2552 x4  5 Pb 3.39-3.69, 2 Pu 3.39, 2 Pr 3.43
Pb 0.5000 0.5000 0.0000 x1  10 Pb 3.43-3.77
Pb 0.5000 0.5000 0.5000 x1  10 Pb 3.39-3.77

***

Pr5PuPb5: optimized geometry, GGA-PBE.

Electronic total energy (eV/atom): -5.397
ΔH_f (0 K) (eV/atom): -0.24
Crystal system: monoclinic

Unit cell a=14.5672 b=6.4534 c=8.9874 alpha=90.00 beta=108.23 gamma=90.00
Last column: nearest neighbours and their distance in Å.
Space group C2/m (No. 12)
Asymmetric unit:
Pr 0.0000 0.0000 0.0000 x2  4 Pb 3.19-3.20
Pr 0.1655 0.5000 0.3279 x4  5 Pb 3.23-3.27
Pr 0.1694 0.5000 0.8354 x4  5 Pb 3.23-3.28
Pu 0.0000 0.0000 0.5000 x2  6 Pb 3.15-3.23
Pb 0.0000 0.5000 0.5000 x2  2 Pu 3.23, 4 Pr 3.24-3.25
Pb 0.1622 0.0000 0.3361 x4  1 Pu 3.15, 5 Pr 3.20-3.28
Pb 0.1619 0.0000 0.8294 x4  1 Pu 3.16, 5 Pr 3.19-3.25